(1)
## PrPaSi2Ir5 (GGA-PBE)

Data for crystalline PrPaSi2Ir5 at its relaxed geometry.

```
data_PrPaSi2Ir5
_cell_length_a 4.050
_cell_length_b 4.050
_cell_length_c 11.146
_cell_angle_alpha 90.00
_cell_angle_beta 90.00
_cell_angle_gamma 90.00
_space_group_name_H-M_alt 'P 4/m m m'
_space_group_IT_number 123
_space_group_name_Hall '-P 4 2'
loop_
_atom_site_label
_atom_site_fract_x
_atom_site_fract_y
_atom_site_fract_z
_atom_site_occupancy
Pr1 0.000 0.000 0.000 1
Pa1 0.000 0.000 0.500 1
Si1 0.500 0.500 0.210 1
Ir1 0.000 0.500 0.322 1
Ir2 0.500 0.500 0.000 1
```

---

(2)
## PrPaTeIr (GGA-PBE)

Data for crystalline PrPaTeIr at its relaxed geometry.

```
data_PrPaTeIr
_cell_length_a 4.1060
_cell_length_b 4.1060
_cell_length_c 23.2548
_cell_angle_alpha 90.00
_cell_angle_beta 90.00
_cell_angle_gamma 120.00
_space_group_name_H-M_alt 'R 3 m'
_space_group_IT_number 160
_space_group_name_Hall 'R 3 -2"'
loop_
_atom_site_label
_atom_site_fract_x
_atom_site_fract_y
_atom_site_fract_z
_atom_site_occupancy
Pr1 0.0000 0.0000 0.0000 1
Pa1 0.0000 0.0000 0.8047 1
Te1 0.0000 0.0000 0.2326 1
Ir1 0.0000 0.0000 0.4130 1
```

---

(3)
# Pr2ZrPaIr2 (GGA-PBE, optimized geometry)
data_Pr2ZrPaIr2
_cell_length_a 6.832
_cell_length_b 13.444
_cell_length_c 6.927
_cell_angle_alpha 90.00
_cell_angle_beta 90.00
_cell_angle_gamma 90.00
_space_group_name_H-M_alt 'I b a m'
_space_group_IT_number 72
_space_group_name_Hall '-I 2 2c'
loop_
_atom_site_label
_atom_site_fract_x
_atom_site_fract_y
_atom_site_fract_z
_atom_site_occupancy
Pr1 0.245 0.188 0.000 1
Zr1 0.000 0.000 0.250 1
Pa1 0.000 0.500 0.250 1
Ir1 0.248 0.408 0.000 1
# Formation energy = -0.567 eV/atom

---

(4)
# Pa2IrPt (GGA-PBE, optimized geometry)
data_Pa2IrPt
_cell_length_a 4.744
_cell_length_b 5.110
_cell_length_c 6.979
_cell_angle_alpha 90.00
_cell_angle_beta 90.00
_cell_angle_gamma 90.00
_space_group_name_H-M_alt 'I m m m'
_space_group_IT_number 71
_space_group_name_Hall '-I 2 2'
loop_
_atom_site_label
_atom_site_fract_x
_atom_site_fract_y
_atom_site_fract_z
_atom_site_occupancy
Pa1 0.000 0.000 0.248 1
Ir1 0.000 0.500 0.500 1
Pt1 0.000 0.500 0.000 1
# Formation energy = -0.686 eV/atom

---

(5)
# Pa3IrPt2 (GGA-PBE, optimized geometry)
data_Pa3IrPt2
_cell_length_a 5.728
_cell_length_b 7.212
_cell_length_c 7.239
_cell_angle_alpha 98.65
_cell_angle_beta 106.30
_cell_angle_gamma 105.79
_space_group_name_H-M_alt 'P -1'
_space_group_IT_number 2
loop_
_space_group_symop_operation_xyz
'x,y,z'
'-x,-y,-z'
loop_
_atom_site_label
_atom_site_fract_x
_atom_site_fract_y
_atom_site_fract_z
_atom_site_occupancy
Pa1 0.087 0.282 0.058 1
Pa2 0.241 0.402 0.622 1
Pa3 0.406 0.949 0.734 1
Ir1 0.418 0.682 0.986 1
Pt1 0.106 0.022 0.332 1
Pt2 0.277 0.666 0.354 1
# Formation energy = -0.894 eV/atom

---

(6)
# Pa4IrPt3 (GGA-PBE, optimized geometry)
data_Pa4IrPt3
_cell_length_a 3.790
_cell_length_b 4.307
_cell_length_c 10.992
_cell_angle_alpha 90.00
_cell_angle_beta 90.00
_cell_angle_gamma 90.00
_space_group_name_H-M_alt 'P m m 2'
_space_group_IT_number 25
loop_
_space_group_symop_operation_xyz
'x,y,z'
'-x,-y,z'
'-x,y,z'
'x,-y,z'
loop_
_atom_site_label
_atom_site_fract_x
_atom_site_fract_y
_atom_site_fract_z
_atom_site_occupancy
Pa1 0.000 0.000 0.000 1
Pa2 0.000 0.500 0.278 1
Pa3 0.500 0.000 0.494 1
Pa4 0.500 0.500 0.780 1
Ir1 0.500 0.000 0.239 1
Pt1 0.000 0.000 0.732 1
Pt2 0.000 0.500 0.546 1
Pt3 0.500 0.500 0.046 1
# Formation energy = -0.886 eV/atom

---

no.,uncorrected energy (eV/atom)
1,-8.367
2,-7.493
3,-8.121
4,-9.159
5,-9.133
6,-9.007